BaTc | PBE | relaxed

Cell: 6.201 6.201 6.201 Å, 90.00 90.00 90.00°
Last column: magnetic moment on the atom in μB.
Atoms (fractional coordinates):
1 Tc 0.894 0.606 0.394  2.41
2 Tc 0.106 0.106 0.106  2.41
3 Tc 0.606 0.394 0.894  2.41
4 Tc 0.394 0.894 0.606  2.41
5 Ba 0.588 0.912 0.088  -0.02
6 Ba 0.912 0.088 0.588  -0.02
7 Ba 0.412 0.412 0.412  -0.02
8 Ba 0.088 0.588 0.912  -0.02

Properties
The energy relative to the lowest polymorph listed for this composition comes out at 1.1903 eV/atom. The energy relative to the elements is 1.51 eV/atom.


BaTc3 | PBE | relaxed

Cell: 5.770 5.770 5.770 Å, 148.99 123.76 65.62°
Atoms (fractional coordinates):
1 Tc 0.294 0.794 0.500
2 Tc 0.706 0.206 0.500
3 Tc 0.500 0.500 0.000
4 Ba 0.000 0.000 0.000

Properties
The energy relative to the lowest polymorph listed for this composition comes out at 0.4834 eV/atom. The energy relative to the elements is 1.08 eV/atom.


BaTc | PBE | relaxed

Cell: 3.574 4.466 8.993 Å, 90.00 90.00 90.00°
Atoms (fractional coordinates):
1 Ba 0.000 0.500 0.400
2 Ba 0.000 0.000 0.934
3 Tc 0.500 0.500 0.701
4 Tc 0.500 0.000 0.633

Properties
The energy relative to the lowest polymorph listed for this composition comes out at 0.4210 eV/atom. The energy relative to the elements is 0.74 eV/atom.